The following is a PBE with a Hubbard U calculation of crystalline VReF2 at its relaxed geometry, from the Alexandria database.

Unit cell a=9.9345 b=9.9345 c=9.9345 alpha=16.63 beta=16.63 gamma=16.63
Closest atoms and distances in Å follow each position.
Fractional coordinates of all 4 atoms:
1 Re 0.0000 0.0000 0.0000  6 Re 2.87
2 V 0.5000 0.5000 0.5000  6 F 2.07
3 F 0.8753 0.8753 0.8753  3 V 2.07
4 F 0.1247 0.1247 0.1247  3 V 2.07

Relative energy among the computed polymorphs (meV per atom): 0